Entry 1:
DFT (PBE-GGA) results for an optimized crystal structure of Al3GaFe.

Lattice parameters (Å, degrees): 4.635 4.635 4.635 90.00 90.00 90.00
Site moments in Bohr magnetons follow the coordinates.
Fractional coordinates of all 5 atoms:
Fe1 0.500 0.500 0.500  3.06
Ga1 0.000 0.000 0.000  -0.02
Al1 0.000 0.500 0.000  -0.03
Al2 0.000 0.000 0.500  -0.02
Al3 0.500 0.000 0.000  -0.02

**D(E_F)**: 6.2 states/eV per cell
**Theoretical density**: 3.4 g cm⁻³
**Size of the total moment**: 2.776 μB/f.u.
**Energy above the lowest structure with this stoichiometry**: 469 kJ/mol of formula units
**Energy of formation**: 5.19 eV/f.u.


Entry 2:
DFT (PBE-GGA) results for an optimized crystal structure of Al2GaFe5.

Lattice parameters (Å, degrees): 5.747 4.968 5.747 54.66 90.00 125.34
Site moments in Bohr magnetons follow the coordinates.
Fractional coordinates of all 8 atoms:
Al1 0.278 0.555 0.222  -0.05
Al2 0.778 0.555 0.722  -0.05
Ga1 0.778 0.556 0.222  -0.09
Fe1 0.278 0.056 0.222  1.21
Fe2 0.278 0.056 0.722  1.26
Fe3 0.778 0.056 0.222  1.26
Fe4 0.778 0.056 0.722  1.21
Fe5 0.278 0.555 0.722  2.35

**D(E_F)**: 10.2 states/eV per cell
**Theoretical density**: 7.1 g cm⁻³
**Size of the total moment**: 6.907 μB/f.u.
**Energy of formation**: -1.43 eV/f.u.


Entry 3:
DFT (PBE-GGA) results for an optimized crystal structure of Al3GaFe4.

Lattice parameters (Å, degrees): 2.877 4.071 8.148 90.00 90.00 90.00
Site moments in Bohr magnetons follow the coordinates.
Fractional coordinates of all 8 atoms:
Al1 0.500 0.000 0.255  -0.03
Al2 0.500 0.500 0.500  -0.02
Al3 0.500 0.000 0.745  -0.03
Ga1 0.500 0.500 0.000  -0.05
Fe1 0.000 0.000 0.500  0.51
Fe2 0.000 0.500 0.753  0.79
Fe3 0.000 0.000 0.000  1.11
Fe4 0.000 0.500 0.247  0.79

**D(E_F)**: 9.6 states/eV per cell
**Theoretical density**: 6.5 g cm⁻³
**Size of the total moment**: 3.015 μB/f.u.
**Energy of formation**: -2.12 eV/f.u.


Entry 4:
DFT (PBE-GGA) results for an optimized crystal structure of Al2Ga2Fe7.

Lattice parameters (Å, degrees): 6.300 4.443 5.545 78.56 99.72 109.74
Site moments in Bohr magnetons follow the coordinates.
Fractional coordinates of all 11 atoms:
Al1 0.755 0.319 0.752  -0.06
Al2 0.245 0.681 0.248  -0.06
Ga1 0.774 0.261 0.239  -0.08
Ga2 0.226 0.739 0.761  -0.08
Fe1 0.085 0.243 0.581  2.04
Fe2 0.599 0.758 0.059  2.20
Fe3 0.915 0.757 0.419  2.04
Fe4 0.401 0.242 0.941  2.20
Fe5 0.000 0.000 0.000  2.38
Fe6 0.586 0.767 0.589  2.33
Fe7 0.414 0.233 0.411  2.33

**D(E_F)**: 7.8 states/eV per cell
**Theoretical density**: 6.8 g cm⁻³
**Size of the total moment**: 15.061 μB/f.u.
**Energy above the lowest structure with this stoichiometry**: 0 kJ/mol of formula units
**Energy of formation**: -0.50 eV/f.u.


Entry 5:
DFT (PBE-GGA) results for an optimized crystal structure of AlGaFe5.

Lattice parameters (Å, degrees): 4.647 4.647 8.833 103.99 103.99 98.75
Site moments in Bohr magnetons follow the coordinates.
Fractional coordinates of all 14 atoms:
Al1 0.000 0.000 0.000  -0.06
Al2 0.000 0.000 0.500  -0.06
Ga1 0.512 0.488 0.750  -0.09
Ga2 0.488 0.512 0.250  -0.09
Fe1 0.394 0.013 0.845  2.32
Fe2 0.453 0.764 0.541  2.23
Fe3 0.013 0.394 0.345  2.32
Fe4 0.858 0.142 0.750  2.08
Fe5 0.236 0.547 0.959  2.23
Fe6 0.764 0.453 0.041  2.23
Fe7 0.142 0.858 0.250  2.08
Fe8 0.987 0.606 0.655  2.32
Fe9 0.547 0.236 0.459  2.23
Fe10 0.606 0.987 0.155  2.32

**D(E_F)**: 8.4 states/eV per cell
**Theoretical density**: 7.1 g cm⁻³
**Size of the total moment**: 10.865 μB/f.u.
**Energy of formation**: -0.56 eV/f.u.


Entry 6:
DFT (PBE-GGA) results for an optimized crystal structure of AlGaFe14.

Lattice parameters (Å, degrees): 4.965 4.965 8.014 90.00 90.00 107.92
Site moments in Bohr magnetons follow the coordinates.
Fractional coordinates of all 16 atoms:
Al1 0.125 0.875 0.500  -0.08
Ga1 0.625 0.375 0.500  -0.13
Fe1 0.125 0.875 0.000  2.35
Fe2 0.625 0.375 0.000  2.38
Fe3 0.125 0.375 0.500  2.03
Fe4 0.125 0.375 0.000  2.37
Fe5 0.625 0.875 0.500  2.03
Fe6 0.625 0.875 0.000  2.37
Fe7 0.375 0.125 0.756  2.28
Fe8 0.375 0.125 0.244  2.28
Fe9 0.875 0.625 0.756  2.28
Fe10 0.875 0.625 0.244  2.28
Fe11 0.374 0.626 0.748  2.37
Fe12 0.374 0.626 0.252  2.37
Fe13 0.876 0.124 0.748  2.37
Fe14 0.876 0.124 0.252  2.37

**D(E_F)**: 13.6 states/eV per cell
**Theoretical density**: 7.8 g cm⁻³
**Size of the total moment**: 31.467 μB/f.u.
**Energy of formation**: -1.01 eV/f.u.


Entry 7:
DFT (PBE-GGA) results for an optimized crystal structure of AlGa3Fe.

Lattice parameters (Å, degrees): 4.801 4.801 4.801 90.00 90.00 90.00
Site moments in Bohr magnetons follow the coordinates.
Fractional coordinates of all 5 atoms:
Fe1 0.500 0.500 0.500  3.25
Ga1 0.000 0.500 0.000  -0.03
Ga2 0.000 0.000 0.500  -0.02
Ga3 0.500 0.000 0.000  -0.03
Al1 0.000 0.000 0.000  0.01

**D(E_F)**: 6.7 states/eV per cell
**Theoretical density**: 4.4 g cm⁻³
**Size of the total moment**: 3.267 μB/f.u.
**Energy above the lowest structure with this stoichiometry**: 349 kJ/mol of formula units
**Energy of formation**: 4.40 eV/f.u.


Entry 8:
DFT (PBE-GGA) results for an optimized crystal structure of Al2GaFe7.

Lattice parameters (Å, degrees): 4.033 4.033 9.232 90.00 90.00 120.00
Site moments in Bohr magnetons follow the coordinates.
Fractional coordinates of all 10 atoms:
Al1 0.667 0.333 0.257  -0.07
Al2 0.333 0.667 0.624  -0.07
Ga1 0.000 0.000 0.032  -0.10
Fe1 0.333 0.667 0.373  1.85
Fe2 0.333 0.667 0.126  1.95
Fe3 0.000 0.000 0.460  2.35
Fe4 0.000 0.000 0.746  2.41
Fe5 0.667 0.333 0.541  2.27
Fe6 0.667 0.333 0.953  2.19
Fe7 0.333 0.667 0.872  2.19

**D(E_F)**: 8.1 states/eV per cell
**Theoretical density**: 6.6 g cm⁻³
**Size of the total moment**: 14.679 μB/f.u.
**Energy of formation**: 0.49 eV/f.u.


Question: Which of these has the lowest theoretical density?
Answer: Al3GaFe